The following is a meta-GGA SCAN calculation of a crystal of TlFeSb2 relaxed with PBEsol, from Alexandria via LeMat-Bulk.

**Energy above the most stable polymorph in this dataset**: 0.000 eV/atom
**E_tot**: -164.446 eV per formula unit
**Total moment**: 0.52 μB per atom
**D(E_F)**: 2.4 states/eV/f.u.
**Mass density**: 9086 kg/m3

abc: 3.2803 3.2803 29.6389
angles: 90.00 90.00 120.00
Last column: nearest neighbours and their distance in Å.
Atoms (fractional coordinates):
Tl  0.0000  0.0000  0.0000  6 Tl 3.28, 6 Sb 3.67
Tl  0.3333  0.6667  0.6667  6 Tl 3.28, 6 Sb 3.67
Tl  0.6667  0.3333  0.3333  6 Tl 3.28, 6 Sb 3.67
Fe  0.0000  0.0000  0.5000  6 Sb 2.61
Fe  0.3333  0.6667  0.1667  6 Sb 2.61
Fe  0.6667  0.3333  0.8333  6 Sb 2.61
Sb  0.0000  0.0000  0.2272  3 Fe 2.61
Sb  0.0000  0.0000  0.7728  3 Fe 2.61
Sb  0.3333  0.6667  0.4394  3 Fe 2.61
Sb  0.3333  0.6667  0.8939  3 Fe 2.61
Sb  0.6667  0.3333  0.1061  3 Fe 2.61
Sb  0.6667  0.3333  0.5606  3 Fe 2.61


The following is a meta-GGA SCAN calculation of a crystal of TlFeSb2 relaxed with PBEsol, from Alexandria via LeMat-Bulk.

**Energy above the most stable polymorph in this dataset**: 0.399 eV/atom
**E_tot**: -162.849 eV per formula unit
**Total moment**: 0.80 μB per atom
**D(E_F)**: 2.6 states/eV/f.u.
**Mass density**: 9043 kg/m3

abc: 4.3378 4.3378 4.9161
angles: 90.00 90.00 90.00
Last column: nearest neighbours and their distance in Å.
Atoms (fractional coordinates):
Tl  0.0000  0.0000  0.0000  4 Fe 3.07, 8 Sb 3.28
Fe  0.5000  0.5000  0.0000  4 Tl 3.07, 8 Sb 3.28
Sb  0.0000  0.5000  0.5000  4 Sb 3.07, 4 Tl 3.28, 4 Fe 3.28
Sb  0.5000  0.0000  0.5000  4 Sb 3.07, 4 Tl 3.28, 4 Fe 3.28


The following is a meta-GGA SCAN calculation of a crystal of TlFe2Sb relaxed with PBEsol, from Alexandria via LeMat-Bulk.

**Energy above the most stable polymorph in this dataset**: 0.000 eV/atom
**E_tot**: -144.923 eV per formula unit
**Total moment**: 1.21 μB per atom
**D(E_F)**: 2.6 states/eV/f.u.
**Mass density**: 9893 kg/m3

abc: 3.0709 3.0709 7.7928
angles: 90.00 90.00 90.00
Last column: nearest neighbours and their distance in Å.
Atoms (fractional coordinates):
Tl  0.0000  0.0000  0.0000  5 Fe 2.88-3.03, 4 Tl 3.07
Fe  0.0000  0.0000  0.3888  4 Fe 2.45, 4 Sb 2.72
Fe  0.5000  0.5000  0.2419  4 Fe 2.45
Sb  0.5000  0.5000  0.5983  5 Fe 2.72-2.78


The following is a meta-GGA SCAN calculation of a crystal of TlFeSb relaxed with PBEsol, from Alexandria via LeMat-Bulk.

**E_tot**: -126.760 eV per formula unit
**Total moment**: 0.80 μB per atom
**D(E_F)**: 1.1 states/eV/f.u.
**Mass density**: 10199 kg/m3

abc: 6.2893 6.2893 6.2893
angles: 90.00 90.00 90.00
Last column: nearest neighbours and their distance in Å.
Atoms (fractional coordinates):
Tl  0.0000  0.0000  0.0000  4 Fe 2.72
Tl  0.0000  0.5000  0.5000  4 Fe 2.72
Tl  0.5000  0.0000  0.5000  4 Fe 2.72
Tl  0.5000  0.5000  0.0000  4 Fe 2.72
Fe  0.2500  0.2500  0.2500  4 Tl 2.72, 4 Sb 2.72
Fe  0.2500  0.7500  0.7500  4 Tl 2.72, 4 Sb 2.72
Fe  0.7500  0.2500  0.7500  4 Tl 2.72, 4 Sb 2.72
Fe  0.7500  0.7500  0.2500  4 Tl 2.72, 4 Sb 2.72
Sb  0.0000  0.0000  0.5000  4 Fe 2.72
Sb  0.0000  0.5000  0.0000  4 Fe 2.72
Sb  0.5000  0.0000  0.0000  4 Fe 2.72
Sb  0.5000  0.5000  0.5000  4 Fe 2.72


The following is a meta-GGA SCAN calculation of a crystal of Fe2SbW relaxed with PBEsol, from Alexandria via LeMat-Bulk.

**Energy above the most stable polymorph in this dataset**: 0.000 eV/atom
**E_tot**: -141.742 eV per formula unit
**Total moment**: 0.73 μB per atom
**D(E_F)**: 2.1 states/eV/f.u.
**Mass density**: 12513 kg/m3

abc: 4.2197 4.2197 3.1100
angles: 90.00 90.00 90.00
Last column: nearest neighbours and their distance in Å.
Atoms (fractional coordinates):
Fe  0.0000  0.5000  0.0000  4 W 2.62, 4 Sb 2.62
Fe  0.5000  0.0000  0.0000  4 W 2.62, 4 Sb 2.62
Sb  0.0000  0.0000  0.5000  8 Fe 2.62
W  0.5000  0.5000  0.5000  8 Fe 2.62


The following is a meta-GGA SCAN calculation of a crystal of FeSbW2 relaxed with PBEsol, from Alexandria via LeMat-Bulk.

**Energy above the most stable polymorph in this dataset**: 0.201 eV/atom
**E_tot**: -192.152 eV per formula unit
**Total moment**: 0.54 μB per atom
**D(E_F)**: 2.6 states/eV/f.u.
**Mass density**: 14413 kg/m3

abc: 5.2683 7.9082 3.0158
angles: 90.00 90.00 90.00
Last column: nearest neighbours and their distance in Å.
Atoms (fractional coordinates):
Fe  0.0000  0.0000  0.0000  2 Sb 2.63, 8 W 2.81
Fe  0.5000  0.5000  0.0000  2 Sb 2.63, 8 W 2.81
Sb  0.0000  0.5000  0.0000  2 Fe 2.63, 8 W 2.81
Sb  0.5000  0.0000  0.0000  2 Fe 2.63, 8 W 2.81
W  0.2500  0.2500  0.5000  2 W 2.63, 4 Fe 2.81, 4 Sb 2.81
W  0.2500  0.7500  0.5000  2 W 2.63, 4 Fe 2.81, 4 Sb 2.81
W  0.7500  0.2500  0.5000  2 W 2.63, 4 Fe 2.81, 4 Sb 2.81
W  0.7500  0.7500  0.5000  2 W 2.63, 4 Fe 2.81, 4 Sb 2.81


The following is a meta-GGA SCAN calculation of a crystal of FeSb2W relaxed with PBEsol, from Alexandria via LeMat-Bulk.

**Energy above the most stable polymorph in this dataset**: 0.449 eV/atom
**E_tot**: -159.390 eV per formula unit
**Total moment**: 0.51 μB per atom
**D(E_F)**: 3.6 states/eV/f.u.
**Mass density**: 11471 kg/m3

abc: 8.4872 3.1371 5.4170
angles: 90.00 104.08 90.00
Last column: nearest neighbours and their distance in Å.
Atoms (fractional coordinates):
Fe  0.0000  0.0000  0.0000  6 Sb 2.67-2.81
Fe  0.5000  0.5000  0.0000  6 Sb 2.67-2.81
Sb  0.2430  0.5000  0.2429  3 Fe 2.67-2.81, 3 W 2.75-2.77
Sb  0.2570  0.0000  0.7571  3 Fe 2.67-2.81, 3 W 2.75-2.77
Sb  0.7430  0.0000  0.2429  3 Fe 2.67-2.81, 3 W 2.75-2.77
Sb  0.7570  0.5000  0.7571  3 Fe 2.67-2.81, 3 W 2.75-2.77
W  0.0000  0.5000  0.5000  6 Sb 2.75-2.77
W  0.5000  0.0000  0.5000  6 Sb 2.75-2.77


The following is a meta-GGA SCAN calculation of a crystal of FeSb2W relaxed with PBEsol, from Alexandria via LeMat-Bulk.

**Energy above the most stable polymorph in this dataset**: 0.000 eV/atom
**E_tot**: -161.186 eV per formula unit
**Total moment**: 0.45 μB per atom
**D(E_F)**: 1.7 states/eV/f.u.
**Mass density**: 10458 kg/m3

abc: 3.0305 3.0305 8.3539
angles: 90.00 90.00 90.00
Last column: nearest neighbours and their distance in Å.
Atoms (fractional coordinates):
Fe  0.0000  0.0000  0.0000  4 W 2.56, 4 Sb 2.72
Sb  0.0000  0.0000  0.5902  4 W 2.94, 4 Sb 3.03
Sb  0.5000  0.5000  0.2004  4 Fe 2.72, 4 Sb 3.03
W  0.5000  0.5000  0.8315  4 Fe 2.56